{"formula": "NiHg2O2", "functional": "PBE with a Hubbard U", "state": "relaxed", "relative_energy_mev_per_atom": 99, "dos_at_fermi_per_ev_cell": 1.4, "total_magnetization_mub_per_cell": 0.72, "lattice": [[4.852, 0.000, 0.000], [0.000, 4.852, 0.000], [2.426, 2.426, 3.796]], "species": ["Hg", "O", "O", "Hg", "Ni"], "frac_coords": [[0.250, 0.750, 0.500], [0.751, 0.751, 0.498], [0.249, 0.249, 0.502], [0.750, 0.250, 0.500], [0.000, 0.000, 0.000]]}